Entry 1:
Here is a geometry-optimized Li4Mg2Ga structure from the Alexandria database. Energies are from PBE-GGA.

The energy above the most stable polymorph in this dataset comes out at 32 meV/atom. The formation enthalpy at 0 K comes out at -0.09 eV/atom.

Cell lengths 7.290, 5.191, 7.885 Å; angles 90.00, 115.47, 90.00 degrees
Fractional coordinates of all 14 atoms:
Li  0.120  0.009  0.201
Li  0.120  0.491  0.201
Li  0.123  0.750  0.570
Li  0.239  0.250  0.824
Li  0.761  0.750  0.176
Li  0.877  0.250  0.430
Li  0.880  0.509  0.799
Li  0.880  0.991  0.799
Mg  0.323  0.750  0.999
Mg  0.427  0.250  0.566
Mg  0.573  0.750  0.434
Mg  0.677  0.250  0.001
Ga  0.461  0.250  0.219
Ga  0.539  0.750  0.781

Entry 2:
Here is a geometry-optimized Li6Mg8Ga structure from the Alexandria database. Energies are from PBE-GGA.

The energy above the most stable polymorph in this dataset comes out at 33 meV/atom. The formation enthalpy at 0 K comes out at 0.06 eV/atom.

Cell lengths 7.515, 7.515, 7.515 Å; angles 64.55, 64.55, 64.55 degrees
Fractional coordinates of all 15 atoms:
Li  0.141  0.454  0.768
Li  0.232  0.859  0.546
Li  0.454  0.768  0.141
Li  0.546  0.232  0.859
Li  0.768  0.141  0.454
Li  0.859  0.546  0.232
Mg  0.029  0.728  0.392
Mg  0.162  0.162  0.162
Mg  0.272  0.608  0.971
Mg  0.392  0.029  0.728
Mg  0.608  0.971  0.272
Mg  0.728  0.392  0.029
Mg  0.838  0.838  0.838
Mg  0.971  0.272  0.608
Ga  0.500  0.500  0.500

Entry 3:
Here is a geometry-optimized Li3MgGa structure from the Alexandria database. Energies are from PBE-GGA.

The energy above the most stable polymorph in this dataset comes out at 86 meV/atom. The formation enthalpy at 0 K comes out at -0.09 eV/atom.

Cell lengths 4.819, 4.819, 4.819 Å; angles 68.19, 68.19, 68.19 degrees
Fractional coordinates of all 5 atoms:
Li  0.008  0.496  0.496
Li  0.496  0.008  0.496
Li  0.496  0.496  0.008
Mg  0.880  0.880  0.880
Ga  0.128  0.128  0.128

Entry 4:
Here is a geometry-optimized LiMg3Ga structure from the Alexandria database. Energies are from PBE-GGA.

The energy above the most stable polymorph in this dataset comes out at 0 meV/atom. The formation enthalpy at 0 K comes out at -0.13 eV/atom.

Cell lengths 9.881, 9.881, 4.522 Å; angles 90.00, 90.00, 153.58 degrees
Fractional coordinates of all 10 atoms:
Li  0.154  0.846  0.750
Li  0.846  0.154  0.250
Mg  0.057  0.943  0.250
Mg  0.250  0.750  0.250
Mg  0.441  0.559  0.250
Mg  0.559  0.441  0.750
Mg  0.750  0.250  0.750
Mg  0.943  0.057  0.750
Ga  0.345  0.655  0.750
Ga  0.655  0.345  0.250

Entry 5:
Here is a geometry-optimized Li3Mg3Ga structure from the Alexandria database. Energies are from PBE-GGA.

The formation enthalpy at 0 K comes out at -0.12 eV/atom.

Cell lengths 8.018, 8.018, 4.857 Å; angles 90.00, 90.00, 120.00 degrees
Fractional coordinates of all 14 atoms:
Li  0.107  0.501  0.250
Li  0.394  0.893  0.250
Li  0.499  0.606  0.250
Li  0.501  0.394  0.750
Li  0.606  0.107  0.750
Li  0.893  0.499  0.750
Mg  0.083  0.264  0.750
Mg  0.181  0.917  0.750
Mg  0.264  0.181  0.250
Mg  0.736  0.819  0.750
Mg  0.819  0.083  0.250
Mg  0.917  0.736  0.250
Ga  0.333  0.667  0.750
Ga  0.667  0.333  0.250

Entry 6:
Here is a geometry-optimized Li3Mg3Ga2 structure from the Alexandria database. Energies are from PBE-GGA.

The energy above the most stable polymorph in this dataset comes out at 0 meV/atom. The formation enthalpy at 0 K comes out at -0.17 eV/atom.

Cell lengths 4.255, 4.330, 8.036 Å; angles 90.00, 90.00, 90.00 degrees
Fractional coordinates of all 8 atoms:
Li  0.000  0.000  0.000
Li  0.500  0.000  0.247
Li  0.500  0.000  0.753
Mg  0.000  0.000  0.500
Mg  0.500  0.500  0.000
Mg  0.500  0.500  0.500
Ga  0.000  0.500  0.247
Ga  0.000  0.500  0.753